Entry 1:
# Zn6Cu3Au PBE relaxed
data_Zn6Cu3Au
_space_group_name_H-M_alt 'P 1 21/m 1'
_space_group_IT_number 11
_space_group_name_Hall '-P 2yb'
_cell_length_a 7.265
_cell_length_b 4.352
_cell_length_c 9.502
_cell_angle_alpha 90.00
_cell_angle_beta 110.09
_cell_angle_gamma 90.00
loop_
_atom_site_label
_atom_site_type_symbol
_atom_site_fract_x
_atom_site_fract_y
_atom_site_fract_z
_atom_site_occupancy
Zn1 Zn 0.002 0.250 0.166 1
Zn2 Zn 0.017 0.250 0.677 1
Zn3 Zn 0.195 0.250 0.481 1
Zn4 Zn 0.197 0.750 0.124 1
Zn5 Zn 0.397 0.750 0.933 1
Zn6 Zn 0.419 0.250 0.262 1
Cu1 Cu 0.195 0.750 0.641 1
Cu2 Cu 0.202 0.250 0.970 1
Cu3 Cu 0.397 0.250 0.774 1
Au1 Au 0.379 0.750 0.422 1
# Calculated total energy, eV per atom: -2.42
# V, Å³ per cell: 282.1

---

Entry 2:
# NdGe2Se4 PBE relaxed
data_NdGe2Se4
_space_group_name_H-M_alt 'I 4/m'
_space_group_IT_number 87
_space_group_name_Hall '-I 4'
_cell_length_a 7.773
_cell_length_b 7.773
_cell_length_c 6.724
_cell_angle_alpha 90.00
_cell_angle_beta 90.00
_cell_angle_gamma 90.00
loop_
_atom_site_label
_atom_site_type_symbol
_atom_site_fract_x
_atom_site_fract_y
_atom_site_fract_z
_atom_site_occupancy
Nd1 Nd 0.000 0.000 0.000 1
Ge1 Ge 0.000 0.500 0.250 1
Se1 Se 0.175 0.694 0.500 1
# Uncorrected formation energy, kJ/mol of formula units: -352
# V, Å³ per cell: 406.2

---

Entry 3:
# LiIn3Pb3 PBE relaxed
data_LiIn3Pb3
_space_group_name_H-M_alt 'P m -3 n'
_space_group_IT_number 223
_space_group_name_Hall '-P 4n 2 3'
_cell_length_a 8.358
_cell_length_b 8.358
_cell_length_c 8.358
_cell_angle_alpha 90.00
_cell_angle_beta 90.00
_cell_angle_gamma 90.00
loop_
_atom_site_label
_atom_site_type_symbol
_atom_site_fract_x
_atom_site_fract_y
_atom_site_fract_z
_atom_site_occupancy
Li1 Li 0.000 0.000 0.000 1
In1 In 0.000 0.250 0.500 1
Pb1 Pb 0.000 0.500 0.250 1
# Calculated total energy, eV per atom: -2.70
# V, Å³ per cell: 583.9

---

Entry 4:
# Pm4TeIr2 PBE relaxed
data_Pm4TeIr2
_space_group_name_H-M_alt 'I -4 2 d'
_space_group_IT_number 122
_space_group_name_Hall 'I -4 2bw'
_cell_length_a 9.204
_cell_length_b 9.204
_cell_length_c 9.058
_cell_angle_alpha 90.00
_cell_angle_beta 90.00
_cell_angle_gamma 90.00
loop_
_atom_site_label
_atom_site_type_symbol
_atom_site_fract_x
_atom_site_fract_y
_atom_site_fract_z
_atom_site_occupancy
Pm1 Pm 0.066 0.177 0.332 1
Te1 Te 0.000 0.000 0.000 1
Ir1 Ir 0.105 0.250 0.625 1
# Uncorrected formation energy, kJ/mol of formula units: -520
# V, Å³ per cell: 767.4

---

Entry 5:
# Te4W3S2 PBE relaxed
data_Te4W3S2
_space_group_name_H-M_alt 'P -6 m 2'
_space_group_IT_number 187
_space_group_name_Hall 'P -6 2'
_cell_length_a 3.4214
_cell_length_b 3.4214
_cell_length_c 30.6607
_cell_angle_alpha 90.00
_cell_angle_beta 90.00
_cell_angle_gamma 120.00
loop_
_atom_site_label
_atom_site_type_symbol
_atom_site_fract_x
_atom_site_fract_y
_atom_site_fract_z
_atom_site_occupancy
Te1 Te 0.0000 0.0000 0.1730 1
Te2 Te 0.0000 0.0000 0.2952 1
W1 W 0.0000 0.0000 0.0000 1
W2 W 0.6667 0.3333 0.2341 1
S1 S 0.6667 0.3333 0.0489 1
# Uncorrected formation energy, kJ/mol of formula units: -220
# V, Å³ per cell: 310.8

---

Entry 6:
# BeCrTc PBE relaxed
data_BeCrTc
_space_group_name_H-M_alt 'A m m 2'
_space_group_IT_number 38
_space_group_name_Hall 'A 2 -2'
_cell_length_a 3.017
_cell_length_b 3.916
_cell_length_c 11.893
_cell_angle_alpha 90.00
_cell_angle_beta 90.00
_cell_angle_gamma 90.00
loop_
_atom_site_label
_atom_site_type_symbol
_atom_site_fract_x
_atom_site_fract_y
_atom_site_fract_z
_atom_site_occupancy
Be1 Be 0.000 0.000 0.000 1
Be2 Be 0.500 0.000 0.156 1
Cr1 Cr 0.500 0.000 0.502 1
Cr2 Cr 0.500 0.000 0.832 1
Tc1 Tc 0.000 0.000 0.333 1
Tc2 Tc 0.000 0.000 0.658 1
# Calculated total energy, eV per atom: -7.93
# V, Å³ per cell: 140.5

---

Entry 7:
# Cd2AgPd PBE relaxed
data_Cd2AgPd
_space_group_name_H-M_alt 'I -4 2 d'
_space_group_IT_number 122
_space_group_name_Hall 'I -4 2bw'
_cell_length_a 7.510
_cell_length_b 7.510
_cell_length_c 5.743
_cell_angle_alpha 90.00
_cell_angle_beta 90.00
_cell_angle_gamma 90.00
loop_
_atom_site_label
_atom_site_type_symbol
_atom_site_fract_x
_atom_site_fract_y
_atom_site_fract_z
_atom_site_occupancy
Cd1 Cd 0.241 0.750 0.125 1
Ag1 Ag 0.000 0.000 0.500 1
Pd1 Pd 0.000 0.000 0.000 1
# Calculated total energy, eV per atom: -2.46
# V, Å³ per cell: 323.9

---

Entry 8:
# BaScAs3 PBE relaxed
data_BaScAs3
_space_group_name_H-M_alt 'P m -3 m'
_space_group_IT_number 221
_space_group_name_Hall '-P 4 2 3'
_cell_length_a 5.623
_cell_length_b 5.623
_cell_length_c 5.623
_cell_angle_alpha 90.00
_cell_angle_beta 90.00
_cell_angle_gamma 90.00
loop_
_atom_site_label
_atom_site_type_symbol
_atom_site_fract_x
_atom_site_fract_y
_atom_site_fract_z
_atom_site_occupancy
Ba1 Ba 0.000 0.000 0.000 1
Sc1 Sc 0.500 0.500 0.500 1
As1 As 0.000 0.000 0.500 1
# Calculated total energy, eV per atom: -3.52
# V, Å³ per cell: 177.8